1.
NiAs2PdO8 (GGA+U, relaxed); space group = P-3m1 (164); VASP energy = -0.200 Ha/atom; spin magnetization = 2.0 μB/f.u.
1.0
-4.8703 -1.2064 2.2523
3.5208 -4.0324 -1.2614
2.4063 0.4054 5.4204
Ni As Pd O
1 2 1 8
direct
0.0000 0.0000 0.5000
0.6667 0.3333 0.3095
0.3333 0.6667 0.6905
0.0000 0.0000 0.0000
0.8451 0.1549 0.2383
0.8451 0.6902 0.2383
0.3098 0.1549 0.2383
0.6902 0.8451 0.7617
0.3333 0.6667 0.4113
0.6667 0.3333 0.5887
0.1549 0.8451 0.7617
0.1549 0.3098 0.7617

---

2.
Ni2AsPdO6 (GGA+U, relaxed); space group = P4mm (99); VASP energy = -0.182 Ha/atom; spin magnetization = 5.0 μB/f.u.; DOS(E_F) = 4.057 states/eV/f.u.
1.0
-3.2485 2.3717 1.1114
-0.1585 -2.5392 4.9554
3.4928 3.8154 2.0668
Ni As Pd O
2 1 1 6
direct
0.8781 0.5000 0.0000
0.8781 0.0000 0.5000
0.6276 0.0000 0.0000
0.6500 0.5000 0.5000
0.7548 0.2294 0.2294
0.7548 0.2294 0.7706
0.1655 0.5000 0.5000
0.2279 0.0000 0.0000
0.7548 0.7706 0.7706
0.7548 0.7706 0.2294